# 1
Material: Ce6MnIn2H
Method: DFT, PBE
State: optimized geometry

Lattice parameters (Å, degrees): 7.0451 7.0451 7.0451 120.73 120.73 88.74
Element x y z (fractional)
Ce: 0.2297 0.2297 0.0000
Ce: 0.2486 0.2486 0.4972
Ce: 0.2486 0.7514 0.0000
Ce: 0.7514 0.2486 0.0000
Ce: 0.7514 0.7514 0.5028
Ce: 0.7703 0.7703 0.0000
Mn: 0.5000 0.5000 0.0000
In: 0.2500 0.7500 0.5000
In: 0.7500 0.2500 0.5000
H: 0.0000 0.0000 0.0000

M_tot	0.30	μB/atom
energy	-5.541	eV per atom

---

# 2
Material: RbTaAsSe2
Method: DFT, PBE
State: optimized geometry

Lattice parameters (Å, degrees): 5.1389 5.1389 5.1085 90.00 90.00 90.00
Element x y z (fractional)
Rb: 0.0000 0.0000 0.0000
Ta: 0.5000 0.5000 0.5000
As: 0.5000 0.5000 0.0000
Se: 0.0000 0.5000 0.5000
Se: 0.5000 0.0000 0.5000

M_tot	0.00	μB/atom
formation energy (no corrections)	-0.53	eV per atom